(1)
Compound: UZn9Ga3
Source: Alexandria
Functional: PBE-GGA
Structure: optimized geometry

a b c (Å): 5.578 6.892 6.762
angles (deg): 80.03 65.64 65.18
Element x y z (fractional)
1 U 0.000 0.000 0.000
2 Zn 0.718 0.785 0.788
3 Zn 0.282 0.215 0.212
4 Zn 0.494 0.215 0.788
5 Zn 0.506 0.785 0.212
6 Zn 0.656 0.357 0.353
7 Zn 0.344 0.643 0.647
8 Zn 0.990 0.643 0.353
9 Zn 0.010 0.357 0.647
10 Zn 0.000 0.500 0.000
11 Ga 0.500 0.500 0.000
12 Ga 0.000 0.000 0.500
13 Ga 0.500 0.000 0.500

Calculated values
Total magnetization: 2.73 μB/cell
Formation energy: -1 kJ/mol of atoms
Energy: -31.95 eV/cell



(2)
Compound: UZnGa
Source: Alexandria
Functional: PBE-GGA
Structure: optimized geometry

a b c (Å): 2.763 2.763 7.153
angles (deg): 101.14 101.14 90.00
Element x y z (fractional)
1 Zn 0.009 0.009 0.018
2 U 0.333 0.333 0.666
3 Ga 0.658 0.658 0.316

Calculated values
Total magnetization: 0.98 μB/cell
Formation energy: -1 kJ/mol of atoms
Energy: -15.62 eV/cell



(3)
Compound: UZn2Ga
Source: Alexandria
Functional: PBE-GGA
Structure: optimized geometry

a b c (Å): 4.367 4.235 4.235
angles (deg): 90.00 90.00 90.00
Element x y z (fractional)
1 Zn 0.000 0.000 0.500
2 Zn 0.000 0.500 0.000
3 U 0.500 0.000 0.000
4 Ga 0.500 0.500 0.500

Calculated values
Total magnetization: 2.84 μB/cell
Formation energy: 10 kJ/mol of atoms
ΔE to the lowest computed polymorph: 0.0000 eV per atom
Energy: -16.46 eV/cell



(4)
Compound: UZnGa2
Source: Alexandria
Functional: PBE-GGA
Structure: optimized geometry

a b c (Å): 2.948 2.948 9.788
angles (deg): 81.34 81.34 60.00
Element x y z (fractional)
1 Zn 0.000 0.000 0.000
2 U 0.500 0.500 0.500
3 Ga 0.743 0.743 0.772
4 Ga 0.257 0.257 0.228

Calculated values
Total magnetization: 1.56 μB/cell
Formation energy: -3 kJ/mol of atoms
Energy: -18.76 eV/cell



(5)
Compound: UZn2Ga2
Source: Alexandria
Functional: PBE-GGA
Structure: optimized geometry

a b c (Å): 2.800 4.461 7.524
angles (deg): 107.26 100.75 90.00
Element x y z (fractional)
1 U 0.000 0.000 0.000
2 Zn 0.711 0.211 0.422
3 Zn 0.289 0.789 0.578
4 Ga 0.611 0.611 0.223
5 Ga 0.389 0.389 0.777

Calculated values
Total magnetization: 2.39 μB/cell
Formation energy: -9 kJ/mol of atoms
Energy: -20.38 eV/cell



(6)
Compound: UZnGa5
Source: Alexandria
Functional: PBE-GGA
Structure: optimized geometry

a b c (Å): 4.435 4.435 6.783
angles (deg): 90.00 90.00 90.00
Element x y z (fractional)
1 U 0.000 0.000 0.000
2 Zn 0.000 0.000 0.500
3 Ga 0.500 0.000 0.708
4 Ga 0.000 0.500 0.708
5 Ga 0.500 0.500 0.000
6 Ga 0.000 0.500 0.292
7 Ga 0.500 0.000 0.292

Calculated values
Total magnetization: 2.45 μB/cell
Formation energy: -11 kJ/mol of atoms
Energy: -28.52 eV/cell